No. 1
A plane-wave DFT calculation with PBE-GGA was carried out for a relaxed structure of BAsS3.

Computed properties:
**D(E_F)**: 0.09 states/eV/cell
**Energy relative to the elements, uncorrected**: -0.154 eV per atom
**Energy above the lowest structure with this stoichiometry**: 0 kJ/mol of formula units
**Final energy**: -4.90 eV per atom

Unit cell a=6.4322 b=9.9660 c=9.1374 alpha=90.00 beta=90.00 gamma=90.00
Space group Ima2 (No. 46)
One atom of each set of equivalent atoms:
B 0.2500 0.1798 0.0000 x4
As 0.2500 0.6206 0.5884 x4
S 0.0153 0.2251 0.5414 x8
S 0.2500 0.0202 0.8973 x4



No. 2
A plane-wave DFT calculation with PBE-GGA was carried out for a relaxed structure of BAsS2.

Computed properties:
**D(E_F)**: 1.97 states/eV/cell
**Energy relative to the elements, uncorrected**: 0.343 eV per atom
**Energy above the lowest structure with this stoichiometry**: 0 kJ/mol of formula units
**Final energy**: -4.55 eV per atom

Unit cell a=3.1157 b=3.1157 c=22.2855 alpha=90.00 beta=90.00 gamma=120.00
Space group R-3m (No. 166, hexagonal axes)
One atom of each set of equivalent atoms:
B 0.0000 0.0000 0.0000 x3
As 0.0000 0.0000 0.5000 x3
S 0.0000 0.0000 0.3855 x6



No. 3
A plane-wave DFT calculation with PBE-GGA was carried out for a relaxed structure of B3AsS.

Computed properties:
**D(E_F)**: 2.04 states/eV/cell
**Energy relative to the elements, uncorrected**: 1.877 eV per atom
**Energy above the lowest structure with this stoichiometry**: 129 kJ/mol of formula units
**Final energy**: -3.89 eV per atom

Unit cell a=4.1546 b=4.1546 c=4.1546 alpha=90.00 beta=90.00 gamma=90.00
Space group Pm-3m (No. 221)
One atom of each set of equivalent atoms:
B 0.0000 0.0000 0.5000 x3
As 0.0000 0.0000 0.0000 x1
S 0.5000 0.5000 0.5000 x1



What did the first record say?
A plane-wave DFT calculation with PBE-GGA was carried out for a relaxed structure of BAsS3.

Computed properties:
**D(E_F)**: 0.09 states/eV/cell
**Energy relative to the elements, uncorrected**: -0.154 eV per atom
**Energy above the lowest structure with this stoichiometry**: 0 kJ/mol of formula units
**Final energy**: -4.90 eV per atom

Unit cell a=6.4322 b=9.9660 c=9.1374 alpha=90.00 beta=90.00 gamma=90.00
Space group Ima2 (No. 46)
One atom of each set of equivalent atoms:
B 0.2500 0.1798 0.0000 x4
As 0.2500 0.6206 0.5884 x4
S 0.0153 0.2251 0.5414 x8
S 0.2500 0.0202 0.8973 x4



Q: Among the records above, which one has the lowest D(E_F)?
A: BAsS3